1.
Entry from Alexandria via LeMat-Bulk: a relaxed structure of AcScSn2 (GGA-PBE).

Calculated values
formation energy = -565 meV per atom
SG = P4/mmm (123)

a b c (Å): 3.970 3.970 7.194
angles (deg): 90.00 90.00 90.00
Fractional positions:
Ac 0.000 0.000 0.000
Sc 0.000 0.000 0.500
Sn 0.500 0.500 0.296
Sn 0.500 0.500 0.704

2.
Entry from Alexandria via LeMat-Bulk: a relaxed structure of SbAsPdSe2 (GGA-PBE).

Calculated values
ΔE_f (raw) = 1.8 eV/f.u.
SG = P4/mmm (123)

a b c (Å): 5.041 5.041 4.744
angles (deg): 90.00 90.00 90.00
Fractional positions:
Sb 0.000 0.000 0.000
As 0.500 0.500 0.000
Pd 0.500 0.500 0.500
Se 0.000 0.500 0.500
Se 0.500 0.000 0.500

3.
Entry from Alexandria via LeMat-Bulk: a relaxed structure of NaCrSb2 (GGA-PBE).

Calculated values
ΔE_f (raw) = 0.1 eV/f.u.
SG = P4/mmm (123)

a b c (Å): 3.247 3.247 8.248
angles (deg): 90.00 90.00 90.00
Fractional positions:
Na 0.000 0.000 0.000
Cr 0.000 0.000 0.500
Sb 0.500 0.500 0.305
Sb 0.500 0.500 0.695

4.
Entry from Alexandria via LeMat-Bulk: a relaxed structure of Li7AlCd2 (GGA-PBE).

Calculated values
formation energy = -88 meV per atom
SG = P3m1 (156)

a b c (Å): 4.578 4.578 10.235
angles (deg): 90.00 90.00 120.00
Fractional positions:
Li 0.000 0.000 0.000
Li 0.000 0.000 0.234
Li 0.000 0.000 0.478
Li 0.333 0.667 0.022
Li 0.333 0.667 0.624
Li 0.667 0.333 0.428
Li 0.667 0.333 0.850
Al 0.667 0.333 0.148
Cd 0.000 0.000 0.740
Cd 0.333 0.667 0.306

5.
Entry from Alexandria via LeMat-Bulk: a relaxed structure of MnVRh3 (GGA-PBE).

Calculated values
formation energy = 620 meV per atom
SG = Pm-3m (221)

a b c (Å): 4.469 4.469 4.469
angles (deg): 90.00 90.00 90.00
Fractional positions:
Mn 0.000 0.000 0.000
V 0.500 0.500 0.500
Rh 0.000 0.500 0.500
Rh 0.500 0.000 0.500
Rh 0.500 0.500 0.000

6.
Entry from Alexandria via LeMat-Bulk: a relaxed structure of CaVBSe (GGA-PBE).

Calculated values
ΔE_f (raw) = -0.2 eV/f.u.
SG = Pm (6)

a b c (Å): 4.265 3.881 4.702
angles (deg): 90.00 102.42 90.00
Fractional positions:
Ca 0.000 0.000 0.000
V 0.584 0.500 0.381
B 0.088 0.500 0.481
Se 0.468 0.500 0.860

7.
Entry from Alexandria via LeMat-Bulk: a relaxed structure of ZrTiNiOs (GGA-PBE).

Calculated values
formation energy = -438 meV per atom
SG = F-43m (216)

a b c (Å): 4.481 4.481 4.481
angles (deg): 60.00 60.00 60.00
Fractional positions:
Zr 0.000 0.000 0.000
Ti 0.500 0.500 0.500
Ni 0.750 0.750 0.750
Os 0.250 0.250 0.250

8.
Entry from Alexandria via LeMat-Bulk: a relaxed structure of PrNd6Ho8 (GGA-PBE).

Calculated values
formation energy = 126 meV per atom
SG = R-3 (148)

a b c (Å): 8.741 8.741 8.741
angles (deg): 62.90 62.90 62.90
Fractional positions:
Pr 0.000 0.000 0.000
Nd 0.104 0.537 0.229
Nd 0.229 0.104 0.537
Nd 0.463 0.771 0.896
Nd 0.537 0.229 0.104
Nd 0.771 0.896 0.463
Nd 0.896 0.463 0.771
Ho 0.112 0.716 0.748
Ho 0.252 0.888 0.284
Ho 0.284 0.252 0.888
Ho 0.424 0.424 0.424
Ho 0.576 0.576 0.576
Ho 0.716 0.748 0.112
Ho 0.748 0.112 0.716
Ho 0.888 0.284 0.252

9.
Entry from Alexandria via LeMat-Bulk: a relaxed structure of CoTc2Hg (GGA-PBE).

Calculated values
formation energy = 436 meV per atom
SG = Pmmm (47)

a b c (Å): 2.799 3.885 5.642
angles (deg): 90.00 90.00 90.00
Fractional positions:
Co 0.000 0.000 0.000
Tc 0.500 0.500 0.204
Tc 0.500 0.500 0.796
Hg 0.000 0.000 0.500

10.
Entry from Alexandria via LeMat-Bulk: a relaxed structure of LaY3Sb2 (GGA-PBE).

Calculated values
ΔE_f (raw) = -4.5 eV/f.u.
SG = C2/m (12)

a b c (Å): 9.532 9.532 9.751
angles (deg): 113.02 113.02 26.87
Fractional positions:
La 0.111 0.111 0.125
La 0.889 0.889 0.875
Y 0.058 0.058 0.677
Y 0.311 0.311 0.109
Y 0.355 0.355 0.522
Y 0.645 0.645 0.478
Y 0.689 0.689 0.891
Y 0.942 0.942 0.323
Sb 0.244 0.244 0.716
Sb 0.488 0.488 0.158
Sb 0.512 0.512 0.842
Sb 0.756 0.756 0.284

11.
Entry from Alexandria via LeMat-Bulk: a relaxed structure of TcRu2Cl (GGA-PBE).

Calculated values
ΔE_f (raw) = 2.5 eV/f.u.
SG = Cmmm (65)

a b c (Å): 2.835 2.835 8.719
angles (deg): 90.00 90.00 120.53
Fractional positions:
Tc 0.000 0.000 0.000
Ru 0.500 0.500 0.250
Ru 0.500 0.500 0.750
Cl 0.000 0.000 0.500

12.
Entry from Alexandria via LeMat-Bulk: a relaxed structure of LiZrUSe4 (GGA-PBE).

Calculated values
ΔE_f (raw) = -8.8 eV/f.u.
SG = Imma (74)

a b c (Å): 8.060 8.060 8.060
angles (deg): 121.77 117.39 90.77
Fractional positions:
Li 0.385 0.135 0.250
Li 0.615 0.865 0.750
Zr 0.000 0.000 0.500
Zr 0.000 0.500 0.000
U 0.000 0.500 0.500
U 0.500 0.500 0.000
Se 0.228 0.248 0.980
Se 0.231 0.752 0.480
Se 0.241 0.244 0.503
Se 0.241 0.739 0.997
Se 0.759 0.261 0.003
Se 0.759 0.756 0.497
Se 0.769 0.248 0.520
Se 0.772 0.752 0.020

13.
Entry from Alexandria via LeMat-Bulk: a relaxed structure of Nd2AgBi (GGA-PBE).

Calculated values
formation energy = -528 meV per atom
SG = P2_1/m (11)

a b c (Å): 6.467 4.603 8.631
angles (deg): 90.00 110.80 90.00
Fractional positions:
Nd 0.207 0.250 0.439
Nd 0.217 0.250 0.914
Nd 0.783 0.750 0.086
Nd 0.793 0.750 0.561
Ag 0.336 0.750 0.706
Ag 0.664 0.250 0.294
Bi 0.324 0.750 0.205
Bi 0.676 0.250 0.795

14.
Entry from Alexandria via LeMat-Bulk: a relaxed structure of Mg2Ag3 (GGA-PBE).

Calculated values
formation energy = -83 meV per atom
SG = I4/mmm (139)

a b c (Å): 9.434 9.434 9.434
angles (deg): 160.31 160.31 27.99
Fractional positions:
Mg 0.189 0.189 0.000
Mg 0.811 0.811 0.000
Ag 0.000 0.000 0.000
Ag 0.403 0.403 0.000
Ag 0.597 0.597 0.000

15.
Entry from Alexandria via LeMat-Bulk: a relaxed structure of Hg2RuRh (GGA-PBE).

Calculated values
formation energy = 451 meV per atom
SG = Pm (6)

a b c (Å): 2.975 4.474 5.597
angles (deg): 90.00 105.09 90.00
Fractional positions:
Hg 0.000 0.000 0.000
Hg 0.337 0.500 0.683
Ru 0.727 0.000 0.462
Rh 0.610 0.500 0.220

16.
Entry from Alexandria via LeMat-Bulk: a relaxed structure of Nd6DyZn (GGA-PBE).

Calculated values
formation energy = 26 meV per atom
SG = P-1 (2)

a b c (Å): 6.428 6.429 6.430
angles (deg): 95.84 95.82 95.96
Fractional positions:
Nd 0.046 0.075 0.264
Nd 0.236 0.454 0.925
Nd 0.426 0.736 0.454
Nd 0.574 0.264 0.546
Nd 0.764 0.546 0.075
Nd 0.954 0.925 0.736
Dy 0.500 0.000 0.000
Zn 0.000 0.500 0.500

17.
Entry from Alexandria via LeMat-Bulk: a relaxed structure of Cs4HgCl7 (GGA-PBE).

Calculated values
ΔE_f (raw) = -17.3 eV/f.u.
SG = C2/m (12)

a b c (Å): 9.278 9.278 11.457
angles (deg): 117.84 117.84 35.01
Fractional positions:
Cs 0.056 0.056 0.238
Cs 0.224 0.224 0.804
Cs 0.776 0.776 0.196
Cs 0.944 0.944 0.762
Hg 0.500 0.500 0.500
Cl 0.000 0.000 0.500
Cl 0.150 0.150 0.042
Cl 0.258 0.258 0.510
Cl 0.434 0.434 0.260
Cl 0.566 0.566 0.740
Cl 0.742 0.742 0.490
Cl 0.850 0.850 0.958

18.
Entry from Alexandria via LeMat-Bulk: a relaxed structure of Rb2CuHgO (GGA-PBE).

Calculated values
ΔE_f (raw) = -2.6 eV/f.u.
SG = P4/mmm (123)

a b c (Å): 6.274 6.274 3.683
angles (deg): 90.00 90.00 90.00
Fractional positions:
Rb 0.000 0.500 0.000
Rb 0.500 0.000 0.000
Cu 0.000 0.000 0.500
Hg 0.500 0.500 0.500
O 0.000 0.000 0.000

19.
Entry from Alexandria via LeMat-Bulk: a relaxed structure of La2MnSb3Ir4 (GGA-PBE).

Calculated values
ΔE_f (raw) = -6.1 eV/f.u.
SG = P-4m2 (115)

a b c (Å): 4.378 4.378 11.103
angles (deg): 90.00 90.00 90.00
Fractional positions:
La 0.000 0.500 0.242
La 0.500 0.000 0.758
Mn 0.500 0.500 0.000
Sb 0.000 0.000 0.000
Sb 0.000 0.500 0.636
Sb 0.500 0.000 0.364
Ir 0.000 0.000 0.500
Ir 0.000 0.500 0.869
Ir 0.500 0.000 0.131
Ir 0.500 0.500 0.500

20.
Entry from Alexandria via LeMat-Bulk: a relaxed structure of PuTiNbW (GGA-PBE).

Calculated values
formation energy = 205 meV per atom
SG = F-43m (216)

a b c (Å): 4.684 4.684 4.684
angles (deg): 60.00 60.00 60.00
Fractional positions:
Pu 0.000 0.000 0.000
Ti 0.250 0.250 0.250
Nb 0.750 0.750 0.750
W 0.500 0.500 0.500

21.
Entry from Alexandria via LeMat-Bulk: a relaxed structure of Y3Er9Th2 (GGA-PBE).

Calculated values
formation energy = 122 meV per atom
SG = Cm (8)

a b c (Å): 9.762 9.762 10.393
angles (deg): 122.12 122.12 33.05
Fractional positions:
Y 0.000 0.000 0.000
Y 0.228 0.228 0.716
Y 0.594 0.594 0.927
Er 0.007 0.007 0.330
Er 0.029 0.029 0.688
Er 0.203 0.203 0.361
Er 0.225 0.225 0.059
Er 0.593 0.593 0.581
Er 0.616 0.616 0.277
Er 0.790 0.790 0.953
Er 0.812 0.812 0.631
Er 0.816 0.816 0.314
Th 0.405 0.405 0.566
Th 0.413 0.413 0.082

22.
Entry from Alexandria via LeMat-Bulk: a relaxed structure of NiIrPt14 (GGA-PBE).

Calculated values
formation energy = 26 meV per atom
SG = Amm2 (38)

a b c (Å): 9.227 5.561 5.561
angles (deg): 60.07 90.00 90.00
Fractional positions:
Ni 0.000 0.000 0.000
Ir 0.000 0.499 0.499
Pt 0.000 0.001 0.502
Pt 0.000 0.502 0.001
Pt 0.242 0.329 0.831
Pt 0.242 0.831 0.329
Pt 0.247 0.832 0.832
Pt 0.248 0.332 0.332
Pt 0.500 0.163 0.163
Pt 0.500 0.163 0.664
Pt 0.500 0.663 0.663
Pt 0.500 0.664 0.163
Pt 0.752 0.332 0.332
Pt 0.753 0.832 0.832
Pt 0.758 0.329 0.831
Pt 0.758 0.831 0.329

23.
Entry from Alexandria via LeMat-Bulk: a relaxed structure of SrZnRu2 (GGA-PBE).

Calculated values
formation energy = 654 meV per atom
SG = R3m (160)

a b c (Å): 9.791 9.791 9.791
angles (deg): 17.26 17.26 17.26
Fractional positions:
Sr 0.000 0.000 0.000
Zn 0.766 0.766 0.766
Ru 0.240 0.240 0.240
Ru 0.506 0.506 0.506

24.
Entry from Alexandria via LeMat-Bulk: a relaxed structure of NdHoZn (GGA-PBE).

Calculated values
formation energy = -46 meV per atom
SG = P3m1 (156)

a b c (Å): 5.007 5.007 3.800
angles (deg): 90.00 90.00 120.00
Fractional positions:
Nd 0.000 0.000 0.000
Ho 0.333 0.667 0.465
Zn 0.667 0.333 0.629

25.
Entry from Alexandria via LeMat-Bulk: a relaxed structure of TlP2Se (GGA-PBE).

Calculated values
ΔE_f (raw) = 1.0 eV/f.u.
SG = P4mm (99)

a b c (Å): 3.108 3.108 9.422
angles (deg): 90.00 90.00 90.00
Fractional positions:
Tl 0.000 0.000 0.000
P 0.000 0.000 0.402
P 0.500 0.500 0.303
Se 0.500 0.500 0.743

26.
Entry from Alexandria via LeMat-Bulk: a relaxed structure of LaSmSnPd (GGA-PBE).

Calculated values
formation energy = -697 meV per atom
SG = F-43m (216)

a b c (Å): 5.354 5.354 5.354
angles (deg): 60.00 60.00 60.00
Fractional positions:
La 0.000 0.000 0.000
Sm 0.500 0.500 0.500
Sn 0.250 0.250 0.250
Pd 0.750 0.750 0.750